(1)
Below is an optimized crystal structure of Mg2Ti3O8, with properties calculated at the PBE level.

Structure (extended XYZ):
```
13
Lattice="5.2163 -2.9887 0.0000 5.2163 2.9887 0.0000 -1.7728 0.0000 4.6472" Properties=species:S:1:pos:R:3 pbc="T T T"
Mg 2.0673 0.0000 0.7030
Mg 6.5924 0.0000 3.9443
Ti 4.3299 1.5964 2.3236
Ti 5.2163 0.0000 0.0000
Ti 4.3299 -1.5964 2.3236
O 0.3548 0.0000 1.9483
O 3.8430 1.3484 0.4445
O 4.8168 1.3484 4.2028
O 3.0568 0.0000 2.7110
O 5.6029 0.0000 1.9362
O 3.8430 -1.3484 0.4445
O 4.8168 -1.3484 4.2028
O 8.3050 0.0000 2.6990
```

Properties
SG = C2/m, No. 12
offset from the most stable computed form = 11.4 meV/atom
formation energy from raw total energies = -37.95 eV per formula unit
DOS at the Fermi energy = 0.000 states/eV/atom

---

(2)
Below is an optimized crystal structure of Mg2TiO, with properties calculated at the PBE level.

Structure (extended XYZ):
```
8
Lattice="-3.0586 3.0586 4.0767 3.0586 -3.0586 4.0767 3.0586 3.0586 -4.0767" Properties=species:S:1:pos:R:3 pbc="T T T"
Mg -0.6213 1.5293 1.0192
Mg 1.5293 2.4373 3.0576
Mg 0.6213 4.5879 1.0192
Mg -1.5293 3.6799 3.0576
Ti 3.0586 0.0000 2.0384
Ti 0.0000 0.0000 4.0767
O 0.0000 0.0000 0.0000
O 0.0000 3.0586 2.0384
```

Properties
SG = I-42d, No. 122
formation energy from raw total energies = -2.09 eV per formula unit
DOS at the Fermi energy = 3.315 states/eV/atom